A plane-wave DFT calculation with GGA-PBE was carried out for a relaxed NdIn2Au9 crystal.

Output
Calculated formation energy (kJ per mole of atoms): -22.41
Volume (Å³ per cell): 758.55

The structure in CIF format:
```
data_NdIn2Au9
_cell_length_a 5.6042
_cell_length_b 5.6042
_cell_length_c 27.8883
_cell_angle_alpha 90.00
_cell_angle_beta 90.00
_cell_angle_gamma 120.00
_space_group_name_H-M_alt 'R -3 m'
_space_group_IT_number 166
_space_group_name_Hall '-R 3 2"'
loop_
_atom_site_label
_atom_site_fract_x
_atom_site_fract_y
_atom_site_fract_z
Nd1 0.0000 0.0000 0.0000
In1 0.0000 0.0000 0.1435
Au1 0.0000 0.0000 0.3331
Au2 0.0000 0.0000 0.5000
Au3 0.0030 0.5015 0.9155
```